Record 1
Material: LiCrH2
Method: DFT, PBE
State: optimized geometry

```
8
Lattice="4.459 0.000 0.000 0.000 4.459 0.000 2.230 2.230 2.910" Properties=species:S:1:pos:R:3 pbc="T T T"
Cr 0.000 0.000 0.000
Cr 4.459 2.230 1.455
H 3.377 1.115 0.727
H 1.082 3.344 0.727
H 3.344 3.312 2.182
H 5.574 5.607 2.182
Li 2.230 2.230 0.000
Li 2.230 4.459 1.455
```

Output
Excess energy over the best structure of this formula in the dataset, eV/atom: 0.1287

Record 2
Material: Li12AsPd6
Method: DFT, PBE
State: optimized geometry

```
19
Lattice="-1.154 2.730 -5.950 3.875 -4.627 -2.787 -5.318 -3.930 -0.684" Properties=species:S:1:pos:R:3 pbc="T T T"
Li -2.872 -1.849 -3.745
Li -0.510 -4.008 -3.061
Li 0.161 -1.369 -4.878
Li 0.275 -3.978 -5.676
Li -2.087 -1.819 -6.361
Li -2.758 -4.457 -4.544
Li -0.543 -4.627 -8.230
Li -0.013 0.247 -2.648
Li 0.650 -2.227 -1.301
Li -2.054 -1.199 -1.191
Li -2.584 -6.074 -6.773
Li -3.247 -3.600 -8.121
As 0.000 0.000 0.000
Pd -2.956 -3.792 -1.966
Pd -4.469 -2.732 -5.694
Pd -0.774 -6.194 -4.572
Pd 0.359 -2.035 -7.456
Pd 1.872 -3.095 -3.727
Pd -1.823 0.367 -4.850
```

Output
ΔE_f, eV per atom: -0.350

Record 3
Material: ErScAlTl
Method: DFT, PBE
State: optimized geometry

```
4
Lattice="-0.713 -0.651 4.996 3.015 -3.161 2.609 3.379 1.865 3.316" Properties=species:S:1:pos:R:3 pbc="T T T"
Sc 2.840 -0.974 5.461
Tl 1.420 -0.487 2.730
Al 4.261 -1.460 8.191
Er 0.000 0.000 0.000
```

Output
Excess energy over the best structure of this formula in the dataset, eV/atom: 0.0346
ΔE_f, eV per atom: -0.297

Record 4
Material: DyPaReRu
Method: DFT, PBE
State: optimized geometry

```
4
Lattice="-3.988 -2.444 1.319 -1.465 -3.840 -2.593 0.394 -4.476 1.851" Properties=species:S:1:pos:R:3 pbc="T T T"
Re 0.000 0.000 0.000
Pa -1.265 -2.690 0.144
Ru -2.529 -5.380 0.288
Dy -3.794 -8.069 0.432
```

Output
ΔE_f, eV per atom: -0.152

Record 5
Material: Na2CeGaO4
Method: DFT, PBE
State: optimized geometry

```
16
Lattice="-0.726 3.058 1.349 -2.025 -4.078 3.818 9.808 0.022 5.226" Properties=species:S:1:pos:R:3 pbc="T T T"
Na 3.455 -1.906 6.176
Na -0.608 0.897 1.974
Na 3.602 0.906 4.217
Na 7.666 -1.896 8.419
Ce 6.873 -0.499 4.828
Ce 0.184 -0.500 5.565
Ga 5.392 -0.165 7.607
Ga 1.665 -0.835 2.787
O -0.016 -1.458 3.295
O 4.873 0.454 5.927
O 7.073 0.459 7.099
O 2.184 -1.453 4.467
O 4.904 0.011 2.613
O 0.000 0.000 0.000
O 5.338 -2.139 7.717
O 1.720 1.140 2.676
```

Output
Raw formation energy, meV/atom: -1891

Record 6
Material: KMn3Br8
Method: DFT, PBE
State: optimized geometry

```
12
Lattice="-6.001 4.997 2.427 -0.707 -4.135 -7.012 -0.250 -3.935 7.484" Properties=species:S:1:pos:R:3 pbc="T T T"
K 0.000 0.000 0.000
Mn -3.001 2.499 1.213
Mn -3.354 0.431 -2.293
Mn -0.353 -2.068 -3.506
Br -2.103 -3.870 2.769
Br -4.856 0.797 0.129
Br -2.031 -1.772 6.262
Br -4.707 0.456 7.344
Br -4.939 -1.377 4.401
Br -2.019 -1.695 -1.502
Br -2.251 -3.528 -4.445
Br -4.927 -1.300 -3.363
```

Output
Raw formation energy, meV/atom: -832

Record 7
Material: La3Pm2In2
Method: DFT, PBE
State: optimized geometry

```
7
Lattice="-4.659 3.218 1.308 -0.232 -4.286 -3.194 2.901 -0.604 11.822" Properties=species:S:1:pos:R:3 pbc="T T T"
La -2.330 1.609 0.654
La -1.577 0.951 4.955
La -0.413 -2.622 4.981
Pm -2.219 -1.286 8.172
Pm 0.229 -0.385 1.764
In -3.274 -0.615 2.762
In 1.284 -1.057 7.174
```

Output
ΔE_f, eV per atom: -0.135

Record 8
Material: TbCeGdTh
Method: DFT, PBE
State: optimized geometry

```
4
Lattice="5.654 0.000 0.000 2.827 4.896 0.000 2.827 1.632 4.616" Properties=species:S:1:pos:R:3 pbc="T T T"
Gd 2.827 1.632 1.154
Tb 8.480 4.896 3.462
Ce 0.000 0.000 0.000
Th 5.654 3.264 2.308
```

Output
ΔE_f, eV per atom: 0.203